7
Lattice="-2.106 2.106 7.630 2.106 -2.106 7.630 2.106 2.106 -7.630" Properties=species:S:1:pos:R:3 comment="Sr2MnCl2O2 | Alexandria via LeMat-Bulk | GGA+U | relaxed" m_tot_mub_per_cell=5.00 dft_energy_ev_per_fu=-40.647 pbc="T T T"
Sr 0.000 0.000 1.640
Sr 0.000 0.000 13.619
Mn 0.000 0.000 7.630
Cl 0.000 0.000 4.842
Cl 0.000 0.000 10.417
O 2.106 0.000 0.000
O 0.000 2.106 0.000